Entry from Alexandria via LeMat-Bulk: crystalline ZnReNi at its relaxed geometry (PBE).

Cell lengths 2.646, 3.874, 7.908 Å; angles 90.00, 93.51, 90.00 degrees
Fractional positions:
Zn 0.242 0.250 0.084
Zn 0.758 0.750 0.916
Re 0.287 0.250 0.419
Re 0.713 0.750 0.581
Ni 0.270 0.250 0.756
Ni 0.730 0.750 0.244

Offset from the most stable computed form ... 0 meV per atom
Spin magnetization ... 0.00 μB/cell
Space group ... No. 11
ΔH_f (0 K) ... -1 meV per atom